! HfSiTc GGA-PBE optimized geometry; values from VASP
! **Distance to the lowest polymorph of the same formula**: 0 meV per atom
&SYSTEM
  ibrav = 0, nat = 9, ntyp = 3
/
ATOMIC_SPECIES
Hf 178.49 Hf.upf
Si 28.09 Si.upf
Tc 98.00 Tc.upf
CELL_PARAMETERS angstrom
6.962 0.000 0.000
-3.481 6.029 0.000
0.000 0.000 3.393
ATOMIC_POSITIONS crystal
Hf 0.000 0.597 0.000
Hf 0.403 0.403 0.000
Hf 0.597 0.000 0.000
Si 0.000 0.000 0.000
Si 0.333 0.667 0.500
Si 0.667 0.333 0.500
Tc 0.000 0.255 0.500
Tc 0.255 0.000 0.500
Tc 0.745 0.745 0.500


! Gd6Te2Pd GGA-PBE optimized geometry; values from VASP
! **Raw total energy**: -5.19 eV per atom
&SYSTEM
  ibrav = 0, nat = 9, ntyp = 3
/
ATOMIC_SPECIES
Gd 157.25 Gd.upf
Te 127.60 Te.upf
Pd 106.42 Pd.upf
CELL_PARAMETERS angstrom
8.518 0.000 0.000
-4.259 7.377 0.000
0.000 0.000 3.963
ATOMIC_POSITIONS crystal
Gd 0.000 0.406 0.000
Gd 0.000 0.752 0.500
Gd 0.248 0.248 0.500
Gd 0.406 0.000 0.000
Gd 0.594 0.594 0.000
Gd 0.752 0.000 0.500
Te 0.333 0.667 0.500
Te 0.667 0.333 0.500
Pd 0.000 0.000 0.000